[1]
DFT (GGA-PBE) results for a relaxed MgNbInCu2 crystal.

Unit cell a=4.8228 b=5.4192 c=4.8228 alpha=90.00 beta=90.00 gamma=90.00
Last column: nearest neighbours and their distance in Å.
Fractional coordinates of all 5 atoms:
Nb: 0.0000 0.0000 0.0000  4 Cu 2.41
Mg: 0.0000 0.5000 0.0000  2 Nb 2.71
Cu: 0.0000 0.0000 0.5000  2 Nb 2.41
Cu: 0.5000 0.0000 0.0000  2 Nb 2.41
In: 0.5000 0.5000 0.5000  4 Mg 3.41, 8 Cu 3.63

Computed properties:
SG: P4/mmm, No. 123
DOS(E_F) (states/eV per atom): 1.011
ΔE_f (kJ/mol of atoms): 112.6


[2]
DFT (GGA-PBE) results for a relaxed Mg3In3CuNi2 crystal.

Unit cell a=3.2277 b=7.5172 c=7.5172 alpha=120.00 beta=90.00 gamma=90.00
Last column: nearest neighbours and their distance in Å.
Fractional coordinates of all 9 atoms:
Mg: 0.5000 0.7229 0.0000  2 Cu 2.64, 2 Ni 2.74
Mg: 0.5000 0.0000 0.7229  2 Cu 2.64, 2 Ni 2.74
Mg: 0.5000 0.2771 0.2771  2 Cu 2.64, 2 Ni 2.74
In: 0.0000 0.6153 0.6153  4 Ni 2.84, 1 Cu 2.89, 6 Mg 3.01-3.05
In: 0.0000 0.0000 0.3847  4 Ni 2.84, 1 Cu 2.89, 6 Mg 3.01-3.05
In: 0.0000 0.3847 0.0000  4 Ni 2.84, 1 Cu 2.89, 6 Mg 3.01-3.05
Cu: 0.0000 0.0000 0.0000  6 Mg 2.64, 3 In 2.89
Ni: 0.5000 0.6667 0.3333  3 Mg 2.74, 6 In 2.84
Ni: 0.5000 0.3333 0.6667  3 Mg 2.74, 6 In 2.84

Computed properties:
SG: P-62m, No. 189
DOS(E_F) (states/eV per atom): 0.384
ΔE_f (kJ/mol of atoms): -9.4


[3]
DFT (GGA-PBE) results for a relaxed MgInCu2P crystal.

Unit cell a=4.7524 b=5.3106 c=4.7524 alpha=90.00 beta=90.00 gamma=90.00
Last column: nearest neighbours and their distance in Å.
Fractional coordinates of all 5 atoms:
P: 0.5000 0.5000 0.5000  4 Mg 3.36, 8 Cu 3.56
Mg: 0.0000 0.5000 0.0000  2 In 2.66
Cu: 0.0000 0.0000 0.5000  2 In 2.38
Cu: 0.5000 0.0000 0.0000  2 In 2.38
In: 0.0000 0.0000 0.0000  4 Cu 2.38, 2 Mg 2.66

Computed properties:
SG: P4/mmm, No. 123
DOS(E_F) (states/eV per atom): 0.498
ΔE_f (kJ/mol of atoms): 96.2


Which value of DOS(E_F) does entry 2 give? 0.384 states/eV per atom


Copy entry 2 word for word.
DFT (GGA-PBE) results for a relaxed Mg3In3CuNi2 crystal.

Unit cell a=3.2277 b=7.5172 c=7.5172 alpha=120.00 beta=90.00 gamma=90.00
Last column: nearest neighbours and their distance in Å.
Fractional coordinates of all 9 atoms:
Mg: 0.5000 0.7229 0.0000  2 Cu 2.64, 2 Ni 2.74
Mg: 0.5000 0.0000 0.7229  2 Cu 2.64, 2 Ni 2.74
Mg: 0.5000 0.2771 0.2771  2 Cu 2.64, 2 Ni 2.74
In: 0.0000 0.6153 0.6153  4 Ni 2.84, 1 Cu 2.89, 6 Mg 3.01-3.05
In: 0.0000 0.0000 0.3847  4 Ni 2.84, 1 Cu 2.89, 6 Mg 3.01-3.05
In: 0.0000 0.3847 0.0000  4 Ni 2.84, 1 Cu 2.89, 6 Mg 3.01-3.05
Cu: 0.0000 0.0000 0.0000  6 Mg 2.64, 3 In 2.89
Ni: 0.5000 0.6667 0.3333  3 Mg 2.74, 6 In 2.84
Ni: 0.5000 0.3333 0.6667  3 Mg 2.74, 6 In 2.84

Computed properties:
SG: P-62m, No. 189
DOS(E_F) (states/eV per atom): 0.384
ΔE_f (kJ/mol of atoms): -9.4